Record 1
Mg2AlCd | PBE | relaxed

It has space group R-3m (No. 166, hexagonal axes), with a = 3.0735 Å, b = 3.0735 Å, c = 30.7826 Å, α = 90.00°, β = 90.00° and γ = 120.00°. Symmetry generates all atoms from Mg at (0.0000, 0.0000, 0.2453), Al at (0.0000, 0.0000, 0.5000) and Cd at (0.0000, 0.0000, 0.0000).

For the polymorph energy (0 for the lowest one), the calculation gives 30 meV per atom. The calculation puts the formation energy at -5 kJ/mol of formula units.



Record 2
MgAl2Cd2 | PBE | relaxed

It has space group P4/mbm (No. 127), with a = 7.965 Å, b = 7.965 Å, c = 3.395 Å, α = 90.00°, β = 90.00° and γ = 90.00°. Symmetry generates all atoms from Mg at (0.000, 0.000, 0.000), Al at (0.119, 0.381, 0.000) and Cd at (0.182, 0.682, 0.500).

For the polymorph energy (0 for the lowest one), the calculation gives 51 meV per atom. The calculation puts the formation energy at 78 kJ/mol of formula units.



Record 3
Mg16Al12Cd | PBE | relaxed

It has space group I-43m (No. 217), with a = 10.545 Å, b = 10.545 Å, c = 10.545 Å, α = 90.00°, β = 90.00° and γ = 90.00°. Symmetry generates all atoms from Mg at (0.043, 0.357, 0.357), Mg at (0.169, 0.169, 0.831), Al at (0.091, 0.091, 0.278) and Cd at (0.000, 0.000, 0.000).

For the polymorph energy (0 for the lowest one), the calculation gives 11 meV per atom. The calculation puts the formation energy at -59 kJ/mol of formula units.



Record 4
Mg2AlCd | PBE | relaxed

It has space group C2/m (No. 12), with a = 9.957 Å, b = 3.064 Å, c = 5.634 Å, α = 90.00°, β = 101.58° and γ = 90.00°. Symmetry generates all atoms from Mg at (0.247, 0.000, 0.243), Al at (0.000, 0.500, 0.000) and Cd at (0.000, 0.000, 0.500).

For the polymorph energy (0 for the lowest one), the calculation gives 50 meV per atom. The calculation puts the formation energy at 3 kJ/mol of formula units.



Record 5
MgAlCd3 | PBE | relaxed

It has space group Pm-3m (No. 221), with a = 5.310 Å, b = 5.310 Å, c = 5.310 Å, α = 90.00°, β = 90.00° and γ = 90.00°. Symmetry generates all atoms from Mg at (0.000, 0.000, 0.000), Al at (0.500, 0.500, 0.500) and Cd at (0.000, 0.000, 0.500).

For the polymorph energy (0 for the lowest one), the calculation gives 225 meV per atom. The calculation puts the formation energy at 278 kJ/mol of formula units.



Record 6
Mg2AlCd2 | PBE | relaxed

It has space group I4/mmm (No. 139), with a = 4.039 Å, b = 4.039 Å, c = 14.792 Å, α = 90.00°, β = 90.00° and γ = 90.00°. Symmetry generates all atoms from Mg at (0.000, 0.000, 0.096), Al at (0.000, 0.000, 0.500) and Cd at (0.000, 0.500, 0.250).

For the polymorph energy (0 for the lowest one), the calculation gives 143 meV per atom. The calculation puts the formation energy at 97 kJ/mol of formula units.



Record 7
NaMgAlCd2 | PBE | relaxed

It has space group P4/mmm (No. 123), with a = 5.333 Å, b = 5.333 Å, c = 5.410 Å, α = 90.00°, β = 90.00° and γ = 90.00°. Symmetry generates all atoms from Na at (0.000, 0.000, 0.000), Mg at (0.000, 0.000, 0.500), Al at (0.500, 0.500, 0.500) and Cd at (0.000, 0.500, 0.000).

The calculation puts the formation energy at 349 kJ/mol of formula units.



Record 8
NaMgAlCd | PBE | relaxed

It has space group F-43m (No. 216), with a = 6.994 Å, b = 6.994 Å, c = 6.994 Å, α = 90.00°, β = 90.00° and γ = 90.00°. Symmetry generates all atoms from Na at (0.000, 0.000, 0.000), Mg at (0.250, 0.250, 0.250), Al at (0.000, 0.000, 0.500) and Cd at (0.250, 0.250, 0.750).

The calculation puts the formation energy at 18 kJ/mol of formula units.



Record 9
MgNbAlCd2 | PBE | relaxed

It has space group P4/mmm (No. 123), with a = 4.928 Å, b = 4.928 Å, c = 4.959 Å, α = 90.00°, β = 90.00° and γ = 90.00°. Symmetry generates all atoms from Mg at (0.000, 0.000, 0.000), Nb at (0.500, 0.500, 0.000), Al at (0.500, 0.500, 0.500) and Cd at (0.000, 0.500, 0.500).

The calculation puts the formation energy at 328 kJ/mol of formula units.



Record 10
NdMgAlCd | PBE | relaxed

It has space group F-43m (No. 216), with a = 7.240 Å, b = 7.240 Å, c = 7.240 Å, α = 90.00°, β = 90.00° and γ = 90.00°. Symmetry generates all atoms from Nd at (0.000, 0.000, 0.000), Mg at (0.000, 0.000, 0.500), Al at (0.250, 0.250, 0.750) and Cd at (0.250, 0.250, 0.250).

The calculation puts the formation energy at -101 kJ/mol of formula units.



Record 11
MgAlCd2O | PBE | relaxed

It has space group P4/mmm (No. 123), with a = 5.095 Å, b = 5.095 Å, c = 5.307 Å, α = 90.00°, β = 90.00° and γ = 90.00°. Symmetry generates all atoms from Mg at (0.000, 0.000, 0.000), Al at (0.000, 0.000, 0.500), Cd at (0.000, 0.500, 0.500) and O at (0.500, 0.500, 0.000).

The raw formation energy is 0.55 eV/atom.



Record 12
MgAlCdPd | PBE | relaxed

It has space group F-43m (No. 216), with a = 6.497 Å, b = 6.497 Å, c = 6.497 Å, α = 90.00°, β = 90.00° and γ = 90.00°. Symmetry generates all atoms from Mg at (0.000, 0.000, 0.000), Al at (0.000, 0.000, 0.500), Cd at (0.250, 0.250, 0.750) and Pd at (0.250, 0.250, 0.250).

The calculation puts the formation energy at -137 kJ/mol of formula units.



| no. | energy (eV for the cell shown) |
| --- | --- |
| 1 | -23.70 |
| 2 | -20.21 |
| 3 | -143.91 |
| 4 | -15.64 |
| 5 | -5.20 |
| 6 | -15.51 |
| 7 | -4.87 |
| 8 | -29.56 |
| 9 | -13.83 |
| 10 | -48.28 |
| 11 | -9.36 |
| 12 | -51.46 |